Material: CrPbCl2
Method: DFT, SCAN
State: PBEsol geometry

abc: 3.309 5.478 5.711
angles: 113.22 106.84 90.00
Site moments in Bohr magnetons follow the coordinates.
Atoms (fractional coordinates):
Pb (0.189, 0.753, 0.378)  -0.07
Cr (0.448, 0.273, 0.897)  3.41
Cl (0.029, 0.068, 0.059)  -0.02
Cl (0.833, 0.406, 0.666)  -0.02

Computed properties:
**M_tot**: 0.86 μB/atom
**Energy above the lowest structure with this stoichiometry**: 61 meV/atom
**ΔE_f (raw)**: -724 meV per atom